Record 1
Computed, not measured: La2GaIrI after structural relaxation at the GGA-PBE level of DFT.

Cell lengths 5.6747, 5.6747, 4.8098 Å; angles 90.00, 90.00, 90.00 degrees
Closest atoms and distances in Å follow each position.
Sites, in units of the cell vectors:
I1 0.5000 0.5000 0.5000  8 La 3.72, 4 Ga 4.01
Ir1 0.0000 0.0000 0.0000  2 Ga 2.40
Ga1 0.0000 0.0000 0.5000  2 Ir 2.40
La1 0.0000 0.5000 0.0000  2 Ir 2.84
La2 0.5000 0.0000 0.0000  2 Ir 2.84

magnetization	0.004	μB per formula unit
total energy	-27.10	eV for the cell shown

=====

Record 2
Computed, not measured: La8GaIr3I4 after structural relaxation at the GGA-PBE level of DFT.

Cell lengths 8.6653, 9.5965, 8.6672 Å; angles 116.86, 119.99, 90.00 degrees
Closest atoms and distances in Å follow each position.
Sites, in units of the cell vectors:
La1 0.2368 0.6859 0.9495  2 Ir 2.88, 1 Ga 3.03
La2 0.2366 0.6859 0.4732  2 Ir 2.88, 1 Ga 3.03
La3 0.2698 0.3097 0.5395  3 Ir 2.95
La4 0.7128 0.6859 0.9495  2 Ir 2.88, 1 Ga 3.03
La5 0.2872 0.3141 0.0505  2 Ir 2.88, 1 Ga 3.03
La6 0.7302 0.6903 0.4605  3 Ir 2.95
La7 0.7634 0.3141 0.5268  2 Ir 2.88, 1 Ga 3.03
La8 0.7632 0.3141 0.0505  2 Ir 2.88, 1 Ga 3.03
Ga1 0.0000 0.5000 0.0000  6 La 3.03
Ir1 0.5000 0.5000 0.0000  6 La 2.88-2.95
Ir2 0.5000 0.5000 0.5000  6 La 2.88-2.95
Ir3 0.0000 0.5000 0.5000  6 La 2.88-2.95
I1 0.5000 0.0000 0.0000  6 La 3.51
I2 0.5000 0.0000 0.5000  6 La 3.56-3.63
I3 0.0000 0.0000 0.0000  6 La 3.56-3.63
I4 0.0000 0.0000 0.5000  6 La 3.56-3.63

magnetization	0.000	μB per formula unit
total energy	-91.40	eV for the cell shown

=====

Record 3
Computed, not measured: La4GaIrI2 after structural relaxation at the GGA-PBE level of DFT.

Cell lengths 4.3756, 7.6583, 8.4701 Å; angles 107.25, 90.00, 90.00 degrees
Closest atoms and distances in Å follow each position.
Sites, in units of the cell vectors:
La1 0.5000 0.2234 0.1915  2 Ir 2.95, 1 Ga 3.03
La2 0.5000 0.7766 0.8085  2 Ir 2.95, 1 Ga 3.03
La3 0.0000 0.2415 0.8091  1 Ir 2.79, 2 Ga 3.07
La4 0.0000 0.7585 0.1909  1 Ir 2.79, 2 Ga 3.07
Ga1 0.5000 0.5000 0.0000  6 La 3.03-3.07
Ir1 0.0000 0.0000 0.0000  6 La 2.79-2.95
I1 0.5000 0.0000 0.5000  6 La 3.49-3.52
I2 0.0000 0.5000 0.5000  6 La 3.58-3.72

magnetization	0.000	μB per formula unit
total energy	-42.20	eV for the cell shown

=====

Record 4
Computed, not measured: La6GaIr2I3 after structural relaxation at the GGA-PBE level of DFT.

Cell lengths 7.5172, 7.5172, 8.5713 Å; angles 98.44, 98.44, 119.95 degrees
Closest atoms and distances in Å follow each position.
Sites, in units of the cell vectors:
La1 0.9371 0.5846 0.8088  2 Ir 2.89-2.90, 1 Ga 3.08
La2 0.7109 0.7109 0.1900  2 Ir 2.90, 1 Ga 3.08
La3 0.0629 0.4154 0.1912  2 Ir 2.89-2.90, 1 Ga 3.08
La4 0.5846 0.9371 0.8088  2 Ir 2.89-2.90, 1 Ga 3.08
La5 0.2891 0.2891 0.8100  2 Ir 2.90, 1 Ga 3.08
La6 0.4154 0.0629 0.1912  2 Ir 2.89-2.90, 1 Ga 3.08
Ga1 0.0000 0.0000 0.0000  6 La 3.08
Ir1 0.3330 0.6670 0.0000  6 La 2.89-2.90
Ir2 0.6670 0.3330 0.0000  6 La 2.89-2.90
I1 0.1621 0.8379 0.5000  6 La 3.50-3.62
I2 0.8379 0.1621 0.5000  6 La 3.50-3.62
I3 0.5000 0.5000 0.5000  6 La 3.47-3.62

magnetization	0.000	μB per formula unit
total energy	-66.83	eV for the cell shown

=====

Record 5
Computed, not measured: LaGaIrI2 after structural relaxation at the GGA-PBE level of DFT.

Cell lengths 5.6123, 5.2613, 5.6123 Å; angles 90.00, 90.00, 90.00 degrees
Closest atoms and distances in Å follow each position.
Sites, in units of the cell vectors:
I1 0.0000 0.0000 0.5000  2 Ir 2.81
I2 0.5000 0.0000 0.0000  2 Ir 2.81
Ir1 0.0000 0.0000 0.0000  2 La 2.63, 4 I 2.81
Ga1 0.5000 0.5000 0.5000  8 I 3.85, 4 La 3.97
La1 0.0000 0.5000 0.0000  2 Ir 2.63

magnetization	0.000	μB per formula unit
total energy	-20.26	eV for the cell shown

=====

Record 6
Computed, not measured: GaIrI2N after structural relaxation at the GGA-PBE level of DFT.

Cell lengths 5.7773, 5.7773, 3.7403 Å; angles 90.00, 90.00, 90.00 degrees
Closest atoms and distances in Å follow each position.
Sites, in units of the cell vectors:
I1 0.0000 0.5000 0.0000  2 Ir 2.89
I2 0.5000 0.0000 0.0000  2 Ir 2.89
Ir1 0.0000 0.0000 0.0000  2 N 1.87
Ga1 0.5000 0.5000 0.5000  8 I 3.44, 2 Ga 3.74
N1 0.0000 0.0000 0.5000  2 Ir 1.87

magnetization	0.000	μB per formula unit
E above lowest polymorph	0.000	eV/f.u.

=====

Record 7
Computed, not measured: GaIrI2N after structural relaxation at the GGA-PBE level of DFT.

Cell lengths 5.6396, 5.6396, 3.4683 Å; angles 90.00, 90.00, 90.00 degrees
Closest atoms and distances in Å follow each position.
Sites, in units of the cell vectors:
I1 0.0000 0.5000 0.0000  2 Ga 2.82
I2 0.5000 0.0000 0.0000  2 Ga 2.82
Ir1 0.5000 0.5000 0.5000  8 I 3.31, 2 Ir 3.47
Ga1 0.0000 0.0000 0.0000  2 N 1.73
N1 0.0000 0.0000 0.5000  2 Ga 1.73

magnetization	0.000	μB per formula unit
E above lowest polymorph	5.074	eV/f.u.

=====

Record 8
Computed, not measured: NbGa2IrI after structural relaxation at the GGA-PBE level of DFT.

Cell lengths 5.3165, 4.8813, 5.3165 Å; angles 90.00, 90.00, 90.00 degrees
Closest atoms and distances in Å follow each position.
Sites, in units of the cell vectors:
I1 0.0000 0.0000 0.0000  2 Ir 2.44, 4 Ga 2.66
Nb1 0.5000 0.5000 0.5000  8 Ga 3.61, 4 Ir 3.76
Ir1 0.0000 0.5000 0.0000  2 I 2.44
Ga1 0.0000 0.0000 0.5000  2 I 2.66
Ga2 0.5000 0.0000 0.0000  2 I 2.66

magnetization	3.163	μB per formula unit
total energy	-17.69	eV for the cell shown

=====

Record 9
Computed, not measured: Nd4GaIrI2 after structural relaxation at the GGA-PBE level of DFT.

Cell lengths 4.2452, 7.6048, 8.3597 Å; angles 107.34, 90.00, 90.00 degrees
Closest atoms and distances in Å follow each position.
Sites, in units of the cell vectors:
Nd1 0.5000 0.2241 0.1892  2 Ir 2.88, 1 Ga 2.98
Nd2 0.5000 0.7759 0.8108  2 Ir 2.88, 1 Ga 2.98
Nd3 0.0000 0.2428 0.8078  1 Ir 2.79, 2 Ga 3.01
Nd4 0.0000 0.7572 0.1922  1 Ir 2.79, 2 Ga 3.01
Ga1 0.5000 0.5000 0.0000  6 Nd 2.98-3.01
Ir1 0.0000 0.0000 0.0000  6 Nd 2.79-2.88
I1 0.5000 0.0000 0.5000  6 Nd 3.42-3.51
I2 0.0000 0.5000 0.5000  6 Nd 3.52-3.67

magnetization	0.000	μB per formula unit
total energy	-40.76	eV for the cell shown

=====

Record 10
Computed, not measured: Nd6GaIr2I3 after structural relaxation at the GGA-PBE level of DFT.

Cell lengths 7.4022, 7.4022, 8.4508 Å; angles 98.40, 98.40, 120.00 degrees
Closest atoms and distances in Å follow each position.
Sites, in units of the cell vectors:
Nd1 0.9372 0.5865 0.8100  2 Ir 2.85-2.86, 1 Ga 3.01
Nd2 0.7125 0.7125 0.1890  2 Ir 2.85, 1 Ga 3.01
Nd3 0.0628 0.4135 0.1900  2 Ir 2.85-2.86, 1 Ga 3.01
Nd4 0.5865 0.9372 0.8100  2 Ir 2.85-2.86, 1 Ga 3.01
Nd5 0.2875 0.2875 0.8110  2 Ir 2.85, 1 Ga 3.01
Nd6 0.4135 0.0628 0.1900  2 Ir 2.85-2.86, 1 Ga 3.01
Ga1 0.0000 0.0000 0.0000  6 Nd 3.01
Ir1 0.3331 0.6669 0.0000  6 Nd 2.85-2.86
Ir2 0.6669 0.3331 0.0000  6 Nd 2.85-2.86
I1 0.1627 0.8373 0.5000  6 Nd 3.46-3.56
I2 0.8373 0.1627 0.5000  6 Nd 3.46-3.56
I3 0.5000 0.5000 0.5000  6 Nd 3.44-3.56

magnetization	0.000	μB per formula unit
total energy	-64.55	eV for the cell shown

=====

Record 11
Computed, not measured: GaIrIO2 after structural relaxation at the GGA-PBE level of DFT.

Cell lengths 3.8768, 3.8768, 7.9278 Å; angles 90.00, 90.00, 90.00 degrees
Closest atoms and distances in Å follow each position.
Sites, in units of the cell vectors:
I1 0.0000 0.0000 0.5000  4 Ga 2.74
Ir1 0.0000 0.0000 0.0000  4 O 1.94
O1 0.0000 0.5000 0.0000  2 Ir 1.94
O2 0.5000 0.0000 0.0000  2 Ir 1.94
Ga1 0.5000 0.5000 0.5000  4 I 2.74

magnetization	0.424	μB per formula unit
E above lowest polymorph	0.000	eV/f.u.

=====

Record 12
Computed, not measured: GaIrI2O after structural relaxation at the GGA-PBE level of DFT.

Cell lengths 5.5431, 5.5431, 3.5003 Å; angles 90.00, 90.00, 90.00 degrees
Closest atoms and distances in Å follow each position.
Sites, in units of the cell vectors:
I1 0.0000 0.5000 0.0000  2 Ga 2.77
I2 0.5000 0.0000 0.0000  2 Ga 2.77
Ir1 0.5000 0.5000 0.5000  8 I 3.28, 2 Ir 3.50
O1 0.0000 0.0000 0.5000  2 Ga 1.75
Ga1 0.0000 0.0000 0.0000  2 O 1.75

magnetization	0.000	μB per formula unit
E above lowest polymorph	2.687	eV/f.u.